No. 1
This record from the Open Quantum Materials Database describes a relaxed structure of GdTcTe. The functional is PBE.

abc: 6.7085 6.7085 6.7085
angles: 90.00 90.00 90.00
Last column: nearest neighbours and their distance in Å.
Positions (direct):
Gd: 0.0000 0.0000 0.0000  4 Te 2.90
Gd: 0.0000 0.5000 0.5000  4 Te 2.90
Gd: 0.5000 0.0000 0.5000  4 Te 2.90
Gd: 0.5000 0.5000 0.0000  4 Te 2.90
Tc: 0.0000 0.0000 0.5000  4 Te 2.90
Tc: 0.0000 0.5000 0.0000  4 Te 2.90
Tc: 0.5000 0.0000 0.0000  4 Te 2.90
Tc: 0.5000 0.5000 0.5000  4 Te 2.90
Te: 0.2500 0.2500 0.2500  4 Gd 2.90, 4 Tc 2.90
Te: 0.2500 0.7500 0.7500  4 Gd 2.90, 4 Tc 2.90
Te: 0.7500 0.2500 0.7500  4 Gd 2.90, 4 Tc 2.90
Te: 0.7500 0.7500 0.2500  4 Gd 2.90, 4 Tc 2.90

Computed properties:
Its space-group type is F-43m. Its magnetization is 7.19 Bohr magnetons per cell. The final energy comes out at -5.95 eV/atom.


No. 2
This record from the Open Quantum Materials Database describes a relaxed structure of TlCuTcMo. The functional is PBE.

abc: 6.3836 6.3836 6.3836
angles: 90.00 90.00 90.00
Last column: nearest neighbours and their distance in Å.
Positions (direct):
Tl: 0.0000 0.0000 0.0000  4 Tc 2.76, 4 Cu 2.76
Tl: 0.0000 0.5000 0.5000  4 Tc 2.76, 4 Cu 2.76
Tl: 0.5000 0.0000 0.5000  4 Tc 2.76, 4 Cu 2.76
Tl: 0.5000 0.5000 0.0000  4 Tc 2.76, 4 Cu 2.76
Cu: 0.2500 0.2500 0.2500  4 Tl 2.76, 4 Mo 2.76
Cu: 0.2500 0.7500 0.7500  4 Tl 2.76, 4 Mo 2.76
Cu: 0.7500 0.2500 0.7500  4 Tl 2.76, 4 Mo 2.76
Cu: 0.7500 0.7500 0.2500  4 Tl 2.76, 4 Mo 2.76
Tc: 0.2500 0.2500 0.7500  4 Tl 2.76, 4 Mo 2.76
Tc: 0.2500 0.7500 0.2500  4 Tl 2.76, 4 Mo 2.76
Tc: 0.7500 0.2500 0.2500  4 Tl 2.76, 4 Mo 2.76
Tc: 0.7500 0.7500 0.7500  4 Tl 2.76, 4 Mo 2.76
Mo: 0.0000 0.0000 0.5000  4 Cu 2.76, 4 Tc 2.76
Mo: 0.0000 0.5000 0.0000  4 Cu 2.76, 4 Tc 2.76
Mo: 0.5000 0.0000 0.0000  4 Cu 2.76, 4 Tc 2.76
Mo: 0.5000 0.5000 0.5000  4 Cu 2.76, 4 Tc 2.76

Computed properties:
Its space-group type is F-43m. Its magnetization is 0.02 Bohr magnetons per cell. The final energy comes out at -6.25 eV/atom.


No. 3
This record from the Open Quantum Materials Database describes a relaxed structure of Mg2B6Os. The functional is PBE.

abc: 8.8756 10.9986 3.4747
angles: 90.00 90.00 90.00
Last column: nearest neighbours and their distance in Å.
Positions (direct):
Mg: 0.0543 0.1285 0.0000  12 B 2.45-2.49, 1 Os 2.74
Mg: 0.1697 0.4128 0.0000  14 B 2.59-2.82
Mg: 0.3303 0.9128 0.0000  14 B 2.59-2.82
Mg: 0.4457 0.6285 0.0000  12 B 2.45-2.49, 1 Os 2.74
Mg: 0.5543 0.3715 0.0000  12 B 2.45-2.49, 1 Os 2.74
Mg: 0.6697 0.0872 0.0000  14 B 2.59-2.82
Mg: 0.8303 0.5872 0.0000  14 B 2.59-2.82
Mg: 0.9457 0.8715 0.0000  12 B 2.45-2.49, 1 Os 2.74
B: 0.0188 0.2884 0.5000  3 B 1.71-1.79
B: 0.0555 0.5640 0.5000  3 B 1.72-1.80
B: 0.0922 0.9749 0.5000  3 B 1.73-1.76
B: 0.1324 0.8197 0.5000  3 B 1.72-1.79
B: 0.2017 0.2392 0.5000  3 B 1.71-1.80
B: 0.2431 0.0788 0.5000  3 B 1.76-1.80
B: 0.2569 0.5788 0.5000  3 B 1.76-1.80
B: 0.2983 0.7392 0.5000  3 B 1.71-1.80
B: 0.3676 0.3197 0.5000  3 B 1.72-1.79
B: 0.4078 0.4749 0.5000  3 B 1.73-1.76
B: 0.4445 0.0640 0.5000  3 B 1.72-1.80
B: 0.4812 0.7884 0.5000  3 B 1.71-1.79
B: 0.5188 0.2116 0.5000  3 B 1.71-1.79
B: 0.5555 0.9360 0.5000  3 B 1.72-1.80
B: 0.5922 0.5251 0.5000  3 B 1.73-1.76
B: 0.6324 0.6803 0.5000  3 B 1.72-1.79
B: 0.7017 0.2608 0.5000  3 B 1.71-1.80
B: 0.7431 0.4212 0.5000  3 B 1.76-1.80
B: 0.7569 0.9212 0.5000  3 B 1.76-1.80
B: 0.7983 0.7608 0.5000  3 B 1.71-1.80
B: 0.8676 0.1803 0.5000  3 B 1.72-1.79
B: 0.9078 0.0251 0.5000  3 B 1.73-1.76
B: 0.9445 0.4360 0.5000  3 B 1.72-1.80
B: 0.9812 0.7116 0.5000  3 B 1.71-1.79
Os: 0.1438 0.6797 0.0000  10 B 2.29-2.32
Os: 0.3562 0.1797 0.0000  10 B 2.29-2.32
Os: 0.6438 0.8203 0.0000  10 B 2.29-2.32
Os: 0.8562 0.3203 0.0000  10 B 2.29-2.32

Computed properties:
Its space-group type is Pbam. Its magnetization is 0.02 Bohr magnetons per cell. The final energy comes out at -6.24 eV/atom.


No. 4
This record from the Open Quantum Materials Database describes a relaxed structure of Cu2Ag3. The functional is PBE.

abc: 2.8542 3.7580 14.4927
angles: 90.00 90.00 90.00
Last column: nearest neighbours and their distance in Å.
Positions (direct):
Cu: 0.0000 0.0000 0.0000  8 Ag 2.75, 4 Cu 2.79-2.85
Cu: 0.0000 0.0000 0.1925  9 Ag 2.74-3.04, 3 Cu 2.79-2.85
Cu: 0.0000 0.0000 0.8075  9 Ag 2.74-3.04, 3 Cu 2.79-2.85
Cu: 0.5000 0.5000 0.5000  10 Ag 2.75-3.03, 2 Cu 2.85
Ag: 0.0000 0.0000 0.4024  5 Cu 2.75-3.04, 7 Ag 2.83-2.86
Ag: 0.0000 0.0000 0.5976  5 Cu 2.75-3.04, 7 Ag 2.83-2.86
Ag: 0.5000 0.5000 0.0969  8 Cu 2.74-2.75, 4 Ag 2.81-2.85
Ag: 0.5000 0.5000 0.2912  5 Cu 2.76-3.03, 7 Ag 2.82-2.86
Ag: 0.5000 0.5000 0.7088  5 Cu 2.76-3.03, 7 Ag 2.82-2.86
Ag: 0.5000 0.5000 0.9031  8 Cu 2.74-2.75, 4 Ag 2.81-2.85

Computed properties:
Its space-group type is Pmmm. The formation energy from the elements is 8.9 kJ per mole of atoms.


No. 5
This record from the Open Quantum Materials Database describes a relaxed structure of TcNi2Pd. The functional is PBE.

abc: 5.9355 5.9355 5.9355
angles: 90.00 90.00 90.00
Last column: nearest neighbours and their distance in Å.
Positions (direct):
Tc: 0.0000 0.0000 0.0000  4 Pd 2.57, 4 Ni 2.57
Tc: 0.0000 0.5000 0.5000  4 Pd 2.57, 4 Ni 2.57
Tc: 0.5000 0.0000 0.5000  4 Pd 2.57, 4 Ni 2.57
Tc: 0.5000 0.5000 0.0000  4 Pd 2.57, 4 Ni 2.57
Ni: 0.0000 0.0000 0.5000  4 Ni 2.57, 4 Pd 2.57
Ni: 0.0000 0.5000 0.0000  4 Ni 2.57, 4 Pd 2.57
Ni: 0.2500 0.2500 0.7500  4 Tc 2.57, 4 Ni 2.57
Ni: 0.2500 0.7500 0.2500  4 Tc 2.57, 4 Ni 2.57
Ni: 0.5000 0.0000 0.0000  4 Ni 2.57, 4 Pd 2.57
Ni: 0.5000 0.5000 0.5000  4 Ni 2.57, 4 Pd 2.57
Ni: 0.7500 0.2500 0.2500  4 Tc 2.57, 4 Ni 2.57
Ni: 0.7500 0.7500 0.7500  4 Tc 2.57, 4 Ni 2.57
Pd: 0.2500 0.2500 0.2500  4 Tc 2.57, 4 Ni 2.57
Pd: 0.2500 0.7500 0.7500  4 Ni 2.57, 4 Tc 2.57
Pd: 0.7500 0.2500 0.7500  4 Ni 2.57, 4 Tc 2.57
Pd: 0.7500 0.7500 0.2500  4 Ni 2.57, 4 Tc 2.57

Computed properties:
Its space-group type is F-43m. Its magnetization is 2.24 Bohr magnetons per cell. The formation energy from the elements is 26.3 kJ per mole of atoms.


No. 6
This record from the Open Quantum Materials Database describes a relaxed structure of LaPrIr2. The functional is PBE.

abc: 4.2481 4.0826 11.0956
angles: 90.00 90.00 90.00
Last column: nearest neighbours and their distance in Å.
Positions (direct):
La: 0.0000 0.0000 0.0000  7 Ir 3.03-3.20
La: 0.0000 0.5000 0.5000  7 Ir 3.03-3.20
Pr: 0.5000 0.0000 0.2878  7 Ir 3.03-3.21
Pr: 0.5000 0.5000 0.7878  7 Ir 3.03-3.21
Ir: 0.0000 0.0000 0.7222  2 Ir 2.75, 4 Pr 3.03
Ir: 0.0000 0.5000 0.2222  2 Ir 2.75, 4 Pr 3.03
Ir: 0.5000 0.0000 0.5647  2 Ir 2.75, 4 La 3.03, 1 Pr 3.07
Ir: 0.5000 0.5000 0.0647  2 Ir 2.75, 4 La 3.03, 1 Pr 3.07

Computed properties:
Its space-group type is Amm2. Its magnetization is 0.01 Bohr magnetons per cell. The formation energy from the elements is -61.3 kJ per mole of atoms.


No. 7
This record from the Open Quantum Materials Database describes a relaxed structure of PrBeAl. The functional is PBE.

abc: 6.7710 6.7710 6.7710
angles: 90.00 90.00 90.00
Last column: nearest neighbours and their distance in Å.
Positions (direct):
Pr: 0.0000 0.0000 0.0000  4 Be 2.93, 4 Al 2.93
Pr: 0.0000 0.5000 0.5000  4 Be 2.93, 4 Al 2.93
Pr: 0.5000 0.0000 0.5000  4 Be 2.93, 4 Al 2.93
Pr: 0.5000 0.5000 0.0000  4 Be 2.93, 4 Al 2.93
Be: 0.2500 0.2500 0.2500  4 Pr 2.93
Be: 0.2500 0.7500 0.7500  4 Pr 2.93
Be: 0.7500 0.2500 0.7500  4 Pr 2.93
Be: 0.7500 0.7500 0.2500  4 Pr 2.93
Al: 0.2500 0.2500 0.7500  4 Pr 2.93
Al: 0.2500 0.7500 0.2500  4 Pr 2.93
Al: 0.7500 0.2500 0.2500  4 Pr 2.93
Al: 0.7500 0.7500 0.7500  4 Pr 2.93

Computed properties:
Its space-group type is F-43m. Its magnetization is 0.00 Bohr magnetons per cell. The final energy comes out at -3.40 eV/atom.


No. 8
This record from the Open Quantum Materials Database describes a relaxed structure of LaTmAs. The functional is PBE.

abc: 6.9752 6.9752 6.9752
angles: 90.00 90.00 90.00
Last column: nearest neighbours and their distance in Å.
Positions (direct):
La: 0.0000 0.0000 0.0000  4 As 3.02
La: 0.0000 0.5000 0.5000  4 As 3.02
La: 0.5000 0.0000 0.5000  4 As 3.02
La: 0.5000 0.5000 0.0000  4 As 3.02
Tm: 0.0000 0.0000 0.5000  4 As 3.02
Tm: 0.0000 0.5000 0.0000  4 As 3.02
Tm: 0.5000 0.0000 0.0000  4 As 3.02
Tm: 0.5000 0.5000 0.5000  4 As 3.02
As: 0.2500 0.2500 0.2500  4 La 3.02, 4 Tm 3.02
As: 0.2500 0.7500 0.7500  4 La 3.02, 4 Tm 3.02
As: 0.7500 0.2500 0.7500  4 La 3.02, 4 Tm 3.02
As: 0.7500 0.7500 0.2500  4 La 3.02, 4 Tm 3.02

Computed properties:
Its space-group type is F-43m. Its magnetization is 0.06 Bohr magnetons per cell. The final energy comes out at -5.43 eV/atom.


No. 9
This record from the Open Quantum Materials Database describes a relaxed structure of Tc2AgSn. The functional is PBE.

abc: 6.4423 6.4423 6.4423
angles: 90.00 90.00 90.00
Last column: nearest neighbours and their distance in Å.
Positions (direct):
Tc: 0.0000 0.0000 0.0000  4 Ag 2.79, 4 Tc 2.79
Tc: 0.0000 0.5000 0.5000  4 Ag 2.79, 4 Tc 2.79
Tc: 0.2500 0.2500 0.2500  4 Tc 2.79, 4 Sn 2.79
Tc: 0.2500 0.7500 0.7500  4 Tc 2.79, 4 Sn 2.79
Tc: 0.5000 0.0000 0.5000  4 Ag 2.79, 4 Tc 2.79
Tc: 0.5000 0.5000 0.0000  4 Ag 2.79, 4 Tc 2.79
Tc: 0.7500 0.2500 0.7500  4 Tc 2.79, 4 Sn 2.79
Tc: 0.7500 0.7500 0.2500  4 Tc 2.79, 4 Sn 2.79
Ag: 0.2500 0.2500 0.7500  4 Sn 2.79, 4 Tc 2.79
Ag: 0.2500 0.7500 0.2500  4 Sn 2.79, 4 Tc 2.79
Ag: 0.7500 0.2500 0.2500  4 Sn 2.79, 4 Tc 2.79
Ag: 0.7500 0.7500 0.7500  4 Sn 2.79, 4 Tc 2.79
Sn: 0.0000 0.0000 0.5000  4 Tc 2.79, 4 Ag 2.79
Sn: 0.0000 0.5000 0.0000  4 Tc 2.79, 4 Ag 2.79
Sn: 0.5000 0.0000 0.0000  4 Tc 2.79, 4 Ag 2.79
Sn: 0.5000 0.5000 0.5000  4 Tc 2.79, 4 Ag 2.79

Computed properties:
Its space-group type is F-43m. Its magnetization is 0.06 Bohr magnetons per cell. The final energy comes out at -6.48 eV/atom.


No. 10
This record from the Open Quantum Materials Database describes a relaxed structure of YAlAu. The functional is PBE.

abc: 5.6657 4.1382 10.7022
angles: 90.00 90.00 90.00
Last column: nearest neighbours and their distance in Å.
Positions (direct):
Y: 0.2497 0.2500 0.0510  5 Au 3.01-3.16, 4 Al 3.29
Y: 0.2503 0.7500 0.5510  5 Au 3.01-3.16, 4 Al 3.29
Y: 0.7497 0.2500 0.4490  5 Au 3.01-3.16, 4 Al 3.29
Y: 0.7503 0.7500 0.9490  5 Au 3.01-3.16, 4 Al 3.29
Al: 0.0009 0.2500 0.7501  4 Au 2.71, 2 Al 2.83
Al: 0.4991 0.7500 0.2501  4 Au 2.71, 2 Al 2.83
Al: 0.5009 0.2500 0.7499  4 Au 2.71, 2 Al 2.83
Al: 0.9991 0.7500 0.2499  4 Au 2.71, 2 Al 2.83
Au: 0.2489 0.2500 0.3467  4 Al 2.71, 3 Y 3.01-3.03
Au: 0.2511 0.7500 0.8467  4 Al 2.71, 3 Y 3.01-3.03
Au: 0.7489 0.2500 0.1533  4 Al 2.71, 3 Y 3.01-3.03
Au: 0.7511 0.7500 0.6533  4 Al 2.71, 3 Y 3.01-3.03

Computed properties:
Its space-group type is Pnma. Its magnetization is 0.01 Bohr magnetons per cell. The final energy comes out at -5.22 eV/atom.


No. 11
This record from the Open Quantum Materials Database describes a relaxed structure of HfBe13. The functional is PBE.

abc: 7.0380 7.0380 7.0380
angles: 60.00 60.00 60.00
Last column: nearest neighbours and their distance in Å.
Positions (direct):
Hf: 0.2500 0.2500 0.2500  24 Be 2.91
Hf: 0.7500 0.7500 0.7500  24 Be 2.91
Be: 0.0000 0.0000 0.0000  12 Be 2.11
Be: 0.0617 0.2935 0.7065  10 Be 2.11-2.31
Be: 0.0617 0.7065 0.9383  10 Be 2.11-2.31
Be: 0.0617 0.9383 0.2935  10 Be 2.11-2.31
Be: 0.2065 0.4383 0.7935  10 Be 2.11-2.31
Be: 0.2065 0.5617 0.4383  10 Be 2.11-2.31
Be: 0.2065 0.7935 0.5617  10 Be 2.11-2.31
Be: 0.2935 0.0617 0.9383  10 Be 2.11-2.31
Be: 0.2935 0.7065 0.0617  10 Be 2.11-2.31
Be: 0.2935 0.9383 0.7065  10 Be 2.11-2.31
Be: 0.4383 0.2065 0.5617  10 Be 2.11-2.31
Be: 0.4383 0.5617 0.7935  10 Be 2.11-2.31
Be: 0.4383 0.7935 0.2065  10 Be 2.11-2.31
Be: 0.5000 0.5000 0.5000  12 Be 2.11
Be: 0.5617 0.2065 0.7935  10 Be 2.11-2.31
Be: 0.5617 0.4383 0.2065  10 Be 2.11-2.31
Be: 0.5617 0.7935 0.4383  10 Be 2.11-2.31
Be: 0.7065 0.0617 0.2935  10 Be 2.11-2.31
Be: 0.7065 0.2935 0.9383  10 Be 2.11-2.31
Be: 0.7065 0.9383 0.0617  10 Be 2.11-2.31
Be: 0.7935 0.2065 0.4383  10 Be 2.11-2.31
Be: 0.7935 0.4383 0.5617  10 Be 2.11-2.31
Be: 0.7935 0.5617 0.2065  10 Be 2.11-2.31
Be: 0.9383 0.0617 0.7065  10 Be 2.11-2.31
Be: 0.9383 0.2935 0.0617  10 Be 2.11-2.31
Be: 0.9383 0.7065 0.2935  10 Be 2.11-2.31

Computed properties:
Its space-group type is Fm-3c. Its magnetization is 0.00 Bohr magnetons per cell. The final energy comes out at -4.37 eV/atom.


No. 12
This record from the Open Quantum Materials Database describes a relaxed structure of LiHfCoSb. The functional is PBE.

abc: 6.2728 6.2728 6.2728
angles: 90.00 90.00 90.00
Last column: nearest neighbours and their distance in Å.
Positions (direct):
Li: 0.0000 0.0000 0.0000  4 Hf 2.72, 4 Sb 2.72
Li: 0.0000 0.5000 0.5000  4 Hf 2.72, 4 Sb 2.72
Li: 0.5000 0.0000 0.5000  4 Hf 2.72, 4 Sb 2.72
Li: 0.5000 0.5000 0.0000  4 Hf 2.72, 4 Sb 2.72
Hf: 0.2500 0.2500 0.7500  4 Li 2.72, 4 Co 2.72
Hf: 0.2500 0.7500 0.2500  4 Li 2.72, 4 Co 2.72
Hf: 0.7500 0.2500 0.2500  4 Li 2.72, 4 Co 2.72
Hf: 0.7500 0.7500 0.7500  4 Li 2.72, 4 Co 2.72
Co: 0.0000 0.0000 0.5000  4 Sb 2.72, 4 Hf 2.72
Co: 0.0000 0.5000 0.0000  4 Sb 2.72, 4 Hf 2.72
Co: 0.5000 0.0000 0.0000  4 Sb 2.72, 4 Hf 2.72
Co: 0.5000 0.5000 0.5000  4 Sb 2.72, 4 Hf 2.72
Sb: 0.2500 0.2500 0.2500  4 Li 2.72, 4 Co 2.72
Sb: 0.2500 0.7500 0.7500  4 Li 2.72, 4 Co 2.72
Sb: 0.7500 0.2500 0.7500  4 Li 2.72, 4 Co 2.72
Sb: 0.7500 0.7500 0.2500  4 Li 2.72, 4 Co 2.72

Computed properties:
Its space-group type is F-43m. Its magnetization is 0.37 Bohr magnetons per cell. The final energy comes out at -6.05 eV/atom.